First-principles (PBE-GGA) data for a relaxed Nd4YAu5 crystal, as listed in Alexandria via LeMat-Bulk.

Output
Space-group type: P4/mmm (123)
Formation energy (eV per atom): -0.7831
D(E_F) (states/eV/f.u.): 6.19
Crystal system: tetragonal

a b c (Å): 3.669 3.669 18.755
angles (deg): 90.00 90.00 90.00
Fractional coordinates of all 10 atoms:
1 Nd 0.000 0.000 0.197
2 Nd 0.000 0.000 0.601
3 Nd 0.000 0.000 0.803
4 Nd 0.000 0.000 0.399
5 Au 0.500 0.500 0.298
6 Au 0.500 0.500 0.500
7 Au 0.500 0.500 0.702
8 Au 0.500 0.500 0.908
9 Au 0.500 0.500 0.092
10 Y 0.000 0.000 0.000